(1)
## FeReTeC2 (PBEsol)

Data for crystalline FeReTeC2 at its relaxed geometry.

Values from the calculation:
E_tot   -37.62 eV per cell
Space-group type   P4/mmm (123)

Unit cell a=3.932 b=3.932 c=5.106 alpha=90.00 beta=90.00 gamma=90.00
Fractional positions:
1 Fe 0.000 0.000 0.000
2 Re 0.000 0.000 0.500
3 Te 0.500 0.500 0.000
4 C 0.000 0.500 0.500
5 C 0.500 0.000 0.500


(2)
## Li2RuBr (PBEsol)

Data for crystalline Li2RuBr at its relaxed geometry.

Values from the calculation:
Polymorph energy (0 for the lowest one)   73 meV per atom
E_tot   -60.10 eV per cell
Space-group type   I-42d (122)

Unit cell a=7.014 b=7.014 c=5.012 alpha=90.00 beta=90.00 gamma=90.00
Fractional positions:
1 Li 0.229 0.250 0.125
2 Li 0.250 0.729 0.375
3 Li 0.250 0.771 0.875
4 Li 0.271 0.250 0.625
5 Li 0.729 0.750 0.625
6 Li 0.750 0.229 0.875
7 Li 0.750 0.271 0.375
8 Li 0.771 0.750 0.125
9 Ru 0.000 0.000 0.500
10 Ru 0.000 0.500 0.750
11 Ru 0.500 0.000 0.250
12 Ru 0.500 0.500 0.000
13 Br 0.000 0.000 0.000
14 Br 0.000 0.500 0.250
15 Br 0.500 0.000 0.750
16 Br 0.500 0.500 0.500


(3)
## Fe2PRh (PBEsol)

Data for crystalline Fe2PRh at its relaxed geometry.

Values from the calculation:
E_tot   -65.58 eV per cell
Space-group type   Imm2 (44)
Formation enthalpy at 0 K   -233 meV/atom

Unit cell a=2.733 b=4.056 c=8.290 alpha=90.00 beta=90.00 gamma=90.00
Fractional positions:
1 Fe 0.000 0.000 0.000
2 Fe 0.000 0.500 0.215
3 Fe 0.500 0.000 0.715
4 Fe 0.500 0.500 0.500
5 P 0.000 0.500 0.705
6 P 0.500 0.000 0.205
7 Rh 0.000 0.000 0.431
8 Rh 0.500 0.500 0.931


(4)
## Tl2CrAs (PBEsol)

Data for crystalline Tl2CrAs at its relaxed geometry.

Values from the calculation:
Polymorph energy (0 for the lowest one)   347 meV per atom
E_tot   -18.55 eV per cell
Space-group type   P2/m (10)
Formation enthalpy at 0 K   515 meV/atom

Unit cell a=4.074 b=5.216 c=4.310 alpha=90.00 beta=93.43 gamma=90.00
Fractional positions:
1 Tl 0.249 0.000 0.250
2 Tl 0.751 0.000 0.750
3 Cr 0.500 0.500 0.000
4 As 0.000 0.500 0.500


(5)
## AlCoN2O (PBEsol)

Data for crystalline AlCoN2O at its relaxed geometry.

Values from the calculation:
E_tot   -31.82 eV per cell
Space-group type   P4/mmm (123)

Unit cell a=3.698 b=3.698 c=3.571 alpha=90.00 beta=90.00 gamma=90.00
Fractional positions:
1 Al 0.000 0.000 0.000
2 Co 0.500 0.500 0.500
3 N 0.000 0.500 0.000
4 N 0.500 0.000 0.000
5 O 0.000 0.000 0.500


(6)
## Cs2Tb6Te7N2 (PBEsol)

Data for crystalline Cs2Tb6Te7N2 at its relaxed geometry.

Values from the calculation:
E_tot   -99.30 eV per cell
Space-group type   C2/m (12)

Unit cell a=12.084 b=12.084 c=11.279 alpha=103.28 beta=103.28 gamma=19.84
Fractional positions:
1 Cs 0.065 0.065 0.199
2 Cs 0.935 0.935 0.801
3 Tb 0.165 0.165 0.890
4 Tb 0.215 0.215 0.629
5 Tb 0.409 0.409 0.363
6 Tb 0.591 0.591 0.637
7 Tb 0.785 0.785 0.371
8 Tb 0.835 0.835 0.110
9 Te 0.000 0.000 0.500
10 Te 0.241 0.241 0.162
11 Te 0.336 0.336 0.560
12 Te 0.425 0.425 0.094
13 Te 0.575 0.575 0.906
14 Te 0.664 0.664 0.440
15 Te 0.759 0.759 0.838
16 N 0.137 0.137 0.694
17 N 0.863 0.863 0.306


(7)
## Ho3SOF5 (PBEsol)

Data for crystalline Ho3SOF5 at its relaxed geometry.

Values from the calculation:
E_tot   -144.42 eV per cell
Space-group type   Pm (6)

Unit cell a=9.195 b=3.595 c=9.247 alpha=90.00 beta=119.53 gamma=90.00
Fractional positions:
1 Ho 0.000 0.000 0.000
2 Ho 0.106 0.500 0.689
3 Ho 0.285 0.000 0.452
4 Ho 0.405 0.500 0.182
5 Ho 0.579 0.500 0.871
6 Ho 0.833 0.000 0.314
7 S 0.028 0.500 0.247
8 S 0.372 0.000 0.918
9 O 0.085 0.000 0.533
10 O 0.265 0.000 0.198
11 F 0.132 0.500 0.959
12 F 0.324 0.500 0.633
13 F 0.432 0.500 0.437
14 F 0.545 0.000 0.705
15 F 0.589 0.000 0.313
16 F 0.656 0.500 0.153
17 F 0.749 0.000 0.019
18 F 0.822 0.500 0.868
19 F 0.845 0.500 0.468
20 F 0.974 0.000 0.746


(8)
## Sr2ScNbO6 (PBEsol)

Data for crystalline Sr2ScNbO6 at its relaxed geometry.

Values from the calculation:
E_tot   -83.58 eV per cell
Space-group type   Fm-3m (225)

Unit cell a=5.726 b=5.726 c=5.726 alpha=60.00 beta=60.00 gamma=60.00
Fractional positions:
1 Sr 0.250 0.250 0.250
2 Sr 0.750 0.750 0.750
3 Sc 0.000 0.000 0.000
4 Nb 0.500 0.500 0.500
5 O 0.254 0.254 0.746
6 O 0.254 0.746 0.254
7 O 0.254 0.746 0.746
8 O 0.746 0.254 0.254
9 O 0.746 0.254 0.746
10 O 0.746 0.746 0.254


(9)
## AlTlRu2 (PBEsol)

Data for crystalline AlTlRu2 at its relaxed geometry.

Values from the calculation:
E_tot   -26.11 eV per cell
Space-group type   Pmm2 (25)
Formation enthalpy at 0 K   240 meV/atom

Unit cell a=2.880 b=3.722 c=5.918 alpha=90.00 beta=90.00 gamma=90.00
Fractional positions:
1 Al 0.000 0.000 0.000
2 Tl 0.500 0.500 0.683
3 Ru 0.000 0.000 0.419
4 Ru 0.500 0.500 0.186


(10)
## TiSiTc2B (PBEsol)

Data for crystalline TiSiTc2B at its relaxed geometry.

Values from the calculation:
E_tot   -39.54 eV per cell
Space-group type   P4/mmm (123)

Unit cell a=4.444 b=4.444 c=3.617 alpha=90.00 beta=90.00 gamma=90.00
Fractional positions:
1 Ti 0.000 0.000 0.000
2 Si 0.500 0.500 0.500
3 Tc 0.000 0.500 0.500
4 Tc 0.500 0.000 0.500
5 B 0.500 0.500 0.000


(11)
## RuRhSe (PBEsol)

Data for crystalline RuRhSe at its relaxed geometry.

Values from the calculation:
Polymorph energy (0 for the lowest one)   0 meV per atom
E_tot   -21.79 eV per cell
Space-group type   P3m1 (156)

Unit cell a=3.992 b=3.992 c=3.189 alpha=90.00 beta=90.00 gamma=120.00
Fractional positions:
1 Ru 0.000 0.000 0.000
2 Rh 0.667 0.333 0.481
3 Se 0.333 0.667 0.796


(12)
## Ga2PIBr (PBEsol)

Data for crystalline Ga2PIBr at its relaxed geometry.

Values from the calculation:
E_tot   -11.67 eV per cell
Space-group type   P4/mmm (123)

Unit cell a=5.619 b=5.619 c=5.798 alpha=90.00 beta=90.00 gamma=90.00
Fractional positions:
1 Ga 0.000 0.500 0.000
2 Ga 0.500 0.000 0.000
3 P 0.000 0.000 0.500
4 I 0.500 0.500 0.500
5 Br 0.500 0.500 0.000